Version a
Below is an optimized crystal structure of TaTiTe6, with properties calculated at the PBE level.

Lattice parameters (Å, degrees): 6.5569 6.9219 7.0567 85.17 62.52 61.86
Fractional positions:
Ta 0.0000 0.0000 0.0000
Ti 0.0000 0.5000 0.5000
Te 0.0790 0.1127 0.3206
Te 0.1998 0.2519 0.7495
Te 0.4920 0.6152 0.8209
Te 0.5080 0.3848 0.1791
Te 0.8002 0.7481 0.2505
Te 0.9210 0.8873 0.6794

Density of states at the Fermi level, states/eV/atom: 0.569
Crystal system: triclinic

---

Version b
Below is an optimized crystal structure of TaTiTe6, with properties calculated at the PBE level.

Lattice parameters (Å, degrees): 7.4842 7.4842 6.7305 101.88 101.88 126.86
Fractional positions:
Ta 0.0000 0.0000 0.0000
Ti 0.5000 0.5000 0.5000
Te 0.0712 0.3813 0.2791
Te 0.3053 0.3053 0.8078
Te 0.3813 0.0712 0.2791
Te 0.6187 0.9288 0.7209
Te 0.6947 0.6947 0.1922
Te 0.9288 0.6187 0.7209

Density of states at the Fermi level, states/eV/atom: 0.375
Crystal system: monoclinic

---

The least stable of them is version a.